SrFeO3 | the Alexandria database | PBE+U | optimized geometry; raw total energy = -6.269 eV per atom; mass density = 4.110 Mg/m³
1.0
19.512 0.000 0.501
0.000 3.908 0.000
-6.355 0.000 3.894
Sr Fe O
4 4 12
Direct
0.375 0.750 0.372 Sr
0.625 0.250 0.628 Sr
0.125 0.250 0.128 Sr
0.875 0.750 0.872 Sr
0.086 0.250 0.581 Fe
0.914 0.750 0.419 Fe
0.414 0.750 0.919 Fe
0.586 0.250 0.081 Fe
0.469 0.750 0.269 O
0.531 0.250 0.731 O
0.031 0.250 0.231 O
0.969 0.750 0.769 O
0.227 0.250 0.023 O
0.773 0.750 0.977 O
0.273 0.750 0.477 O
0.727 0.250 0.523 O
0.551 0.750 0.030 O
0.449 0.250 0.970 O
0.949 0.250 0.470 O
0.051 0.750 0.530 O